(1)
A crystal of Ho3In relaxed with PBEsol, computed with SCAN.

Computed properties:
Theoretical density (Mg/m³): 9.57
Energy above the most stable polymorph in this dataset (meV/atom): 20.7
Magnetic moment (μB/f.u.): 0.00
DOS at the Fermi energy (states/eV per atom): 1.24
Energy of formation (eV per atom): -0.356

Cell: 6.760 6.760 5.348 Å, 90.00 90.00 120.00°
Atoms (fractional coordinates):
Ho 0.172 0.344 0.250
Ho 0.172 0.828 0.250
Ho 0.344 0.172 0.750
Ho 0.656 0.828 0.250
Ho 0.828 0.172 0.750
Ho 0.828 0.656 0.750
In 0.333 0.667 0.750
In 0.667 0.333 0.250



(2)
A crystal of Ho3In relaxed with PBEsol, computed with SCAN.

Computed properties:
Theoretical density (Mg/m³): 9.60
Energy above the most stable polymorph in this dataset (meV/atom): 0.0
Magnetic moment (μB/f.u.): 0.96
DOS at the Fermi energy (states/eV per atom): 0.96
Energy of formation (eV per atom): -0.376

Cell: 4.724 4.724 4.724 Å, 90.00 90.00 90.00°
Atoms (fractional coordinates):
Ho 0.000 0.000 0.500
Ho 0.000 0.500 0.000
Ho 0.500 0.000 0.000
In 0.500 0.500 0.500



(3)
A crystal of HoIn3 relaxed with PBEsol, computed with SCAN.

Computed properties:
Theoretical density (Mg/m³): 9.05
Magnetic moment (μB/f.u.): 0.00
DOS at the Fermi energy (states/eV per atom): 0.44
Energy of formation (eV per atom): -0.515

Cell: 4.539 4.539 4.539 Å, 90.00 90.00 90.00°
Atoms (fractional coordinates):
Ho 0.000 0.000 0.000
In 0.000 0.500 0.500
In 0.500 0.000 0.500
In 0.500 0.500 0.000



(4)
A crystal of Ho3In5 relaxed with PBEsol, computed with SCAN.

Computed properties:
Theoretical density (Mg/m³): 9.12
Magnetic moment (μB/f.u.): 0.00
DOS at the Fermi energy (states/eV per atom): 0.47
Energy of formation (eV per atom): -0.603

Cell: 6.262 6.262 10.143 Å, 90.00 90.00 78.18°
Atoms (fractional coordinates):
Ho 0.116 0.884 0.750
Ho 0.294 0.294 0.000
Ho 0.294 0.294 0.500
Ho 0.706 0.706 0.000
Ho 0.706 0.706 0.500
Ho 0.884 0.116 0.250
In 0.006 0.431 0.750
In 0.195 0.805 0.044
In 0.195 0.805 0.456
In 0.431 0.006 0.250
In 0.498 0.502 0.250
In 0.502 0.498 0.750
In 0.569 0.994 0.750
In 0.805 0.195 0.544
In 0.805 0.195 0.956
In 0.994 0.569 0.250



(5)
A crystal of Ho4InIr relaxed with PBEsol, computed with SCAN.

Computed properties:
Theoretical density (Mg/m³): 10.74
Magnetic moment (μB/f.u.): 0.00
DOS at the Fermi energy (states/eV per atom): 0.55
Energy of formation (eV per atom): -0.746

Cell: 9.457 9.457 9.457 Å, 60.00 60.00 60.00°
Atoms (fractional coordinates):
Ho 0.059 0.059 0.441
Ho 0.059 0.441 0.059
Ho 0.059 0.441 0.441
Ho 0.190 0.190 0.810
Ho 0.190 0.810 0.190
Ho 0.190 0.810 0.810
Ho 0.201 0.600 0.600
Ho 0.441 0.059 0.059
Ho 0.441 0.059 0.441
Ho 0.441 0.441 0.059
Ho 0.600 0.201 0.600
Ho 0.600 0.600 0.201
Ho 0.600 0.600 0.600
Ho 0.810 0.190 0.190
Ho 0.810 0.190 0.810
Ho 0.810 0.810 0.190
In 0.502 0.833 0.833
In 0.833 0.502 0.833
In 0.833 0.833 0.502
In 0.833 0.833 0.833
Ir 0.392 0.392 0.392
Ir 0.392 0.392 0.825
Ir 0.392 0.825 0.392
Ir 0.825 0.392 0.392



(6)
A crystal of LiHo2In relaxed with PBEsol, computed with SCAN.

Computed properties:
Theoretical density (Mg/m³): 7.67
Magnetic moment (μB/f.u.): 0.00
DOS at the Fermi energy (states/eV per atom): 0.65
Energy of formation (eV per atom): -0.345

Cell: 5.171 5.171 5.171 Å, 60.00 60.00 60.00°
Atoms (fractional coordinates):
Li 0.000 0.000 0.000
Ho 0.250 0.250 0.250
Ho 0.750 0.750 0.750
In 0.500 0.500 0.500



(7)
A crystal of HoMgIn relaxed with PBEsol, computed with SCAN.

Computed properties:
Theoretical density (Mg/m³): 6.93
Magnetic moment (μB/f.u.): 0.00
DOS at the Fermi energy (states/eV per atom): 0.11
Energy of formation (eV per atom): -0.514

Cell: 7.405 7.405 4.605 Å, 90.00 90.00 120.00°
Atoms (fractional coordinates):
Ho 0.000 0.435 0.000
Ho 0.435 0.000 0.000
Ho 0.565 0.565 0.000
Mg 0.000 0.758 0.500
Mg 0.242 0.242 0.500
Mg 0.758 0.000 0.500
In 0.000 0.000 0.000
In 0.333 0.667 0.500
In 0.667 0.333 0.500



(8)
A crystal of Ho2MgIn relaxed with PBEsol, computed with SCAN.

Computed properties:
Theoretical density (Mg/m³): 7.78
Magnetic moment (μB/f.u.): 0.01
DOS at the Fermi energy (states/eV per atom): 0.73
Energy of formation (eV per atom): -0.393

Cell: 5.211 5.211 5.211 Å, 60.00 60.00 60.00°
Atoms (fractional coordinates):
Ho 0.250 0.250 0.250
Ho 0.750 0.750 0.750
Mg 0.000 0.000 0.000
In 0.500 0.500 0.500



> Look up the energy of formation of the fifth one.

-0.746 eV per atom



> What is the formula in the sixth record?

LiHo2In



> Which value of DOS at the Fermi energy does entry 8 give?

0.73 states/eV per atom



> Number 4 is which compound?

Ho3In5